Computed, not measured: a relaxed ZnCoO2 crystal at the PBE+U level of DFT.

For the density of states at the Fermi level, the calculation gives 1.2 states/eV/f.u. Its size of the total moment is 2.7 μB/cell. The electronic total energy comes out at -0.183 hartree per atom. Its space group is P1. The mass density comes out at 5.8 g/cm3.

Lattice parameters (Å, degrees): 2.9901 5.2901 5.8309 90.38 102.60 90.77
Element x y z (fractional)
Zn (0.0000, 0.0000, 0.0000)
Zn (0.4276, 0.4937, 0.2527)
Co (0.5615, 0.5184, 0.7707)
Co (0.9987, 0.0008, 0.5319)
O (0.4727, 0.7570, 0.5147)
O (0.4857, 0.7734, 0.0050)
O (0.5214, 0.2365, 0.5425)
O (0.8408, 0.3366, 0.0527)